(1)
TaSiSe2 PBE relaxed; VASP energy = -6.11 eV per atom; formation energy (no corrections) = -0.052 eV/atom
1.0
-1.1842 2.2251 -2.0059
0.3041 -2.0562 -2.4605
-6.4156 -2.3549 1.1750
Se Si Ta
2 1 1
direct
0.0000 0.0000 0.5272
0.0000 0.0000 0.9728
0.5000 0.5000 0.2500
0.5000 0.5000 0.7500

---

(2)
SrCdCu2Br PBE relaxed; VASP energy = -2.48 eV per atom; formation energy (no corrections) = 0.011 eV/atom
1.0
4.8581 0.0000 0.0000
0.0000 6.5009 0.0000
0.0000 0.0000 4.8581
Cd Sr Cu Br
1 1 2 1
direct
0.0000 0.0000 0.0000
0.0000 0.5000 0.0000
0.0000 0.0000 0.5000
0.5000 0.0000 0.0000
0.5000 0.5000 0.5000

---

(3)
PrMnCoP2 PBE relaxed; VASP energy = -7.33 eV per atom
1.0
3.8367 0.0000 0.0000
0.0000 3.8367 0.0000
-1.9183 -1.9183 5.3033
Mn Co P Pr
1 1 2 1
direct
0.2500 0.7500 0.5000
0.7500 0.2500 0.5000
0.3551 0.3551 0.7102
0.6449 0.6449 0.2898
0.0000 0.0000 0.0000

---

(4)
NdS2 PBE relaxed; VASP energy = -6.01 eV per atom; formation energy (no corrections) = -1.668 eV/atom
1.0
-2.4854 2.9247 1.0262
-2.3618 -2.6388 1.8007
4.1615 1.0707 7.0272
S Nd
4 2
direct
0.5000 0.0000 0.6331
0.5000 0.5000 0.0000
0.0000 0.5000 0.3669
0.0000 0.0000 0.0000
0.0000 0.5000 0.7260
0.5000 0.0000 0.2740

---

(5)
MnAsIN2 PBE relaxed; VASP energy = -5.05 eV per atom; formation energy (no corrections) = 1.356 eV/atom
1.0
3.8247 0.0000 0.0000
0.0000 3.8247 0.0000
0.0000 0.0000 6.8210
Mn As N I
1 1 2 1
direct
0.5000 0.5000 0.5000
0.0000 0.0000 0.0000
0.0000 0.5000 0.0000
0.5000 0.0000 0.0000
0.0000 0.0000 0.5000

---

(6)
Mg2ScTc PBE relaxed; VASP energy = -4.87 eV per atom
1.0
4.7216 0.0000 0.0000
2.3608 4.0890 0.0000
2.3608 1.3630 3.8551
Mg Tc Sc
2 1 1
direct
0.0000 0.0000 0.0000
0.2500 0.2500 0.2500
0.7500 0.7500 0.7500
0.5000 0.5000 0.5000

---

- What is the VASP energy in the first record?
  -6.11 eV per atom